No. 1
{
  "formula": "CeMgZn10",
  "functional": "PBE",
  "state": "optimized geometry",
  "total_magnetization_mub_per_fu": 0.659,
  "volume_a3_per_cell": 207.1,
  "formation_energy_mev_per_atom": -135,
  "lattice": [[4.2997, 0.0000, 0.0000], [0.0000, 5.2042, 0.0000], [0.0000, 0.0000, 9.2562]],
  "species": ["Ce", "Mg", "Zn", "Zn", "Zn", "Zn", "Zn", "Zn", "Zn", "Zn", "Zn", "Zn"],
  "frac_coords": [[0.0000, 0.0000, 0.0000], [0.0000, 0.5000, 0.5000], [0.0000, 0.0000, 0.3465], [0.0000, 0.5000, 0.8093], [0.0000, 0.5000, 0.1907], [0.0000, 0.0000, 0.6535], [0.5000, 0.0000, 0.5000], [0.5000, 0.5000, 0.0000], [0.5000, 0.2421, 0.2403], [0.5000, 0.7579, 0.7597], [0.5000, 0.7579, 0.2403], [0.5000, 0.2421, 0.7597]]
}

---

No. 2
{
  "formula": "ScZn2Mo",
  "functional": "PBE",
  "state": "optimized geometry",
  "total_magnetization_mub_per_fu": 0.000,
  "volume_a3_per_cell": 65.7,
  "formation_energy_mev_per_atom": 3,
  "e_above_lowest_polymorph_mev_per_atom": 76,
  "lattice": [[-4.7934, -0.4919, -2.4884], [-4.5413, -2.8765, -0.7162], [-3.7724, 1.4439, 2.4796]],
  "species": ["Mo", "Sc", "Zn", "Zn"],
  "frac_coords": [[0.4905, 0.4905, 0.5114], [0.2534, 0.2534, 0.2450], [0.0166, 0.0166, 0.9855], [0.7394, 0.7394, 0.7581]]
}

---

No. 3
{
  "formula": "K2Pu2VS6",
  "functional": "PBE",
  "state": "optimized geometry",
  "total_magnetization_mub_per_fu": 11.000,
  "volume_a3_per_cell": 289.4,
  "formation_energy_uncorrected_mev_per_atom": -1372.5,
  "lattice": [[6.6463, 0.0156, 0.0549], [-3.2714, 5.7854, 0.0549], [-1.2033, -2.0684, 7.4765]],
  "species": ["K", "K", "Pu", "Pu", "V", "S", "S", "S", "S", "S", "S"],
  "frac_coords": [[0.8298, 0.1702, 0.0000], [0.1702, 0.8298, 0.0000], [0.3335, 0.6665, 0.5000], [0.6665, 0.3335, 0.5000], [0.0000, 0.0000, 0.5000], [0.7580, 0.7580, 0.6883], [0.0648, 0.3754, 0.6895], [0.2420, 0.2420, 0.3117], [0.3754, 0.0648, 0.6895], [0.9352, 0.6246, 0.3105], [0.6246, 0.9352, 0.3105]]
}

---

No. 4
{
  "formula": "NiOsC",
  "functional": "PBE",
  "state": "optimized geometry",
  "total_magnetization_mub_per_fu": 0.000,
  "volume_a3_per_cell": 129.9,
  "formation_energy_mev_per_atom": 342,
  "e_above_lowest_polymorph_mev_per_atom": 0,
  "lattice": [[-1.4552, 4.7942, -11.0081], [-1.8075, -3.2590, -1.1804], [-2.4141, 1.0567, 0.7793]],
  "species": ["Ni", "Ni", "Ni", "Ni", "C", "C", "C", "C", "Os", "Os", "Os", "Os"],
  "frac_coords": [[0.1022, 0.5000, 0.0000], [0.8978, 0.5000, 0.0000], [0.6022, 0.0000, 0.5000], [0.3978, 0.0000, 0.5000], [0.0592, 0.0000, 0.0000], [0.9408, 0.0000, 0.0000], [0.5592, 0.5000, 0.5000], [0.4408, 0.5000, 0.5000], [0.6859, 0.5000, 0.0000], [0.3141, 0.5000, 0.0000], [0.1859, 0.0000, 0.5000], [0.8141, 0.0000, 0.5000]]
}

---

No. 5
{
  "formula": "CdPW",
  "functional": "PBE",
  "state": "optimized geometry",
  "total_magnetization_mub_per_fu": 0.000,
  "volume_a3_per_cell": 51.5,
  "formation_energy_mev_per_atom": 140,
  "e_above_lowest_polymorph_mev_per_atom": 0,
  "lattice": [[5.5967, -0.0045, 0.0000], [3.8054, 4.1038, 0.0000], [-4.7010, -2.0497, 2.2410]],
  "species": ["Cd", "P", "W"],
  "frac_coords": [[0.0003, 0.0003, 0.0000], [0.7001, 0.7001, 0.0000], [0.2996, 0.2996, 0.0000]]
}

---

No. 6
{
  "formula": "Nd4HN2",
  "functional": "PBE",
  "state": "optimized geometry",
  "total_magnetization_mub_per_fu": 0.000,
  "volume_a3_per_cell": 142.5,
  "total_energy_ev_per_atom": -6.472,
  "lattice": [[3.6357, 0.0000, 0.0000], [1.8178, 3.1486, 0.0000], [1.8178, 1.0495, 12.4448]],
  "species": ["Nd", "Nd", "Nd", "Nd", "H", "N", "N"],
  "frac_coords": [[0.1174, 0.1174, 0.6477], [0.2897, 0.2897, 0.1309], [0.7103, 0.7103, 0.8691], [0.8826, 0.8826, 0.3523], [0.0000, 0.0000, 0.0000], [0.4145, 0.4145, 0.7566], [0.5855, 0.5855, 0.2434]]
}

---

No. 7
{
  "formula": "PmDy2YS4",
  "functional": "PBE",
  "state": "optimized geometry",
  "total_magnetization_mub_per_fu": 0.000,
  "volume_a3_per_cell": 173.2,
  "formation_energy_uncorrected_mev_per_atom": -2001.0,
  "lattice": [[-3.1157, 2.0062, 1.2290], [-3.0683, -1.0632, -6.0432], [-3.6083, -5.8013, 0.3225]],
  "species": ["Pm", "Dy", "Dy", "Y", "S", "S", "S", "S"],
  "frac_coords": [[0.5000, 0.5000, 0.0000], [0.0000, 0.0000, 0.0000], [0.5000, 0.0000, 0.5000], [0.0000, 0.5000, 0.5000], [0.0000, 0.7586, 0.7423], [0.0000, 0.2414, 0.2577], [0.5000, 0.7549, 0.2531], [0.5000, 0.2451, 0.7469]]
}

---

No. 8
{
  "formula": "LaSm8Pb6",
  "functional": "PBE",
  "state": "optimized geometry",
  "total_magnetization_mub_per_fu": 0.004,
  "volume_a3_per_cell": 509.4,
  "formation_energy_mev_per_atom": -396,
  "lattice": [[9.4036, 0.0000, 0.0000], [4.7018, 8.1438, 0.0000], [4.7018, 2.7146, 6.6513]],
  "species": ["La", "Sm", "Sm", "Sm", "Sm", "Sm", "Sm", "Sm", "Sm", "Pb", "Pb", "Pb", "Pb", "Pb", "Pb"],
  "frac_coords": [[0.0000, 0.0000, 0.0000], [0.5681, 0.2264, 0.3104], [0.7736, 0.1048, 0.6896], [0.1048, 0.4319, 0.6896], [0.6673, 0.6673, 0.9980], [0.3327, 0.3327, 0.0020], [0.8952, 0.5681, 0.3104], [0.2264, 0.8952, 0.3104], [0.4319, 0.7736, 0.6896], [0.4091, 0.0687, 0.7919], [0.9313, 0.2697, 0.2081], [0.2697, 0.5909, 0.2081], [0.7303, 0.4091, 0.7919], [0.0687, 0.7303, 0.7919], [0.5909, 0.9313, 0.2081]]
}

---

No. 9
{
  "formula": "TcHIF2",
  "functional": "PBE",
  "state": "optimized geometry",
  "total_magnetization_mub_per_fu": 4.755,
  "volume_a3_per_cell": 72.2,
  "total_energy_ev_per_atom": -3.798,
  "lattice": [[-4.0405, 1.5380, 0.4281], [-0.9215, -3.0219, 2.1589], [1.2059, 2.1765, 3.5613]],
  "species": ["I", "H", "Tc", "F", "F"],
  "frac_coords": [[0.0000, 0.5000, 0.0000], [0.0000, 0.0000, 0.0000], [0.5000, 0.5000, 0.5000], [0.0000, 0.0000, 0.5000], [0.5000, 0.0000, 0.0000]]
}

---

No. 10
{
  "formula": "Cs2LaCu3F12",
  "functional": "PBE",
  "state": "optimized geometry",
  "total_magnetization_mub_per_fu": 3.877,
  "volume_a3_per_cell": 297.2,
  "formation_energy_uncorrected_mev_per_atom": -2406.8,
  "lattice": [[-3.9826, -5.5176, -2.6550], [3.5757, -4.9728, -3.9798], [1.0150, -6.5334, 3.1044]],
  "species": ["Cs", "Cs", "La", "Cu", "Cu", "Cu", "F", "F", "F", "F", "F", "F", "F", "F", "F", "F", "F", "F"],
  "frac_coords": [[0.6094, 0.6094, 0.6094], [0.3906, 0.3906, 0.3906], [0.0000, 0.0000, 0.0000], [0.5000, 0.0000, 0.0000], [0.0000, 0.5000, 0.0000], [0.0000, 0.0000, 0.5000], [0.2804, 0.2804, 0.9106], [0.8885, 0.8885, 0.3852], [0.3852, 0.8885, 0.8885], [0.9106, 0.2804, 0.2804], [0.8885, 0.3852, 0.8885], [0.2804, 0.9106, 0.2804], [0.7196, 0.7196, 0.0894], [0.1115, 0.1115, 0.6148], [0.6148, 0.1115, 0.1115], [0.0894, 0.7196, 0.7196], [0.1115, 0.6148, 0.1115], [0.7196, 0.0894, 0.7196]]
}

---

No. 11
{
  "formula": "BaPdI2O",
  "functional": "PBE",
  "state": "optimized geometry",
  "total_magnetization_mub_per_fu": 0.000,
  "volume_a3_per_cell": 149.2,
  "formation_energy_uncorrected_mev_per_atom": -620.4,
  "e_above_lowest_polymorph_mev_per_atom": 201,
  "lattice": [[6.1824, 0.0000, 0.0000], [0.0000, 6.1824, 0.0000], [0.0000, 0.0000, 3.9034]],
  "species": ["I", "I", "O", "Ba", "Pd"],
  "frac_coords": [[0.0000, 0.5000, 0.0000], [0.5000, 0.0000, 0.0000], [0.0000, 0.0000, 0.0000], [0.5000, 0.5000, 0.5000], [0.0000, 0.0000, 0.5000]]
}

---

No. 12
{
  "formula": "Ta4CrW3",
  "functional": "PBE",
  "state": "optimized geometry",
  "total_magnetization_mub_per_fu": 0.002,
  "volume_a3_per_cell": 132.4,
  "formation_energy_mev_per_atom": -71,
  "lattice": [[3.2132, 0.0000, 0.0000], [0.0000, 3.2132, 0.0000], [0.0000, 0.0000, 12.8277]],
  "species": ["Cr", "W", "W", "W", "Ta", "Ta", "Ta", "Ta"],
  "frac_coords": [[0.5000, 0.5000, 0.0000], [0.5000, 0.5000, 0.2454], [0.5000, 0.5000, 0.5000], [0.5000, 0.5000, 0.7546], [0.0000, 0.0000, 0.8817], [0.0000, 0.0000, 0.1183], [0.0000, 0.0000, 0.3726], [0.0000, 0.0000, 0.6274]]
}

---

No. 13
{
  "formula": "BaZn2Cl",
  "functional": "PBE",
  "state": "optimized geometry",
  "total_magnetization_mub_per_fu": 0.000,
  "volume_a3_per_cell": 118.1,
  "formation_energy_uncorrected_mev_per_atom": -652.2,
  "e_above_lowest_polymorph_mev_per_atom": 86,
  "lattice": [[6.2721, 0.0000, 0.0000], [0.0000, 4.3396, -0.0112], [0.0000, 0.0953, 4.3375]],
  "species": ["Ba", "Cl", "Zn", "Zn"],
  "frac_coords": [[0.5000, 0.2500, 0.2500], [0.5000, 0.7500, 0.7500], [0.0000, 0.9728, 0.9731], [0.0000, 0.5272, 0.5269]]
}

---

No. 14
{
  "formula": "KNaTl2",
  "functional": "PBE",
  "state": "optimized geometry",
  "total_magnetization_mub_per_fu": 0.000,
  "volume_a3_per_cell": 156.1,
  "formation_energy_mev_per_atom": -68,
  "e_above_lowest_polymorph_mev_per_atom": 0,
  "lattice": [[5.3841, 0.0000, 0.0000], [-2.6921, 4.3463, -1.6989], [0.0000, -0.6242, 6.9144]],
  "species": ["K", "Na", "Tl", "Tl"],
  "frac_coords": [[0.7500, 0.5000, 0.2500], [0.2500, 0.5000, 0.7500], [0.9479, 0.8959, 0.8437], [0.5521, 0.1041, 0.6563]]
}

---

No. 15
{
  "formula": "ScTc2",
  "functional": "PBE",
  "state": "optimized geometry",
  "total_magnetization_mub_per_fu": 0.000,
  "volume_a3_per_cell": 48.7,
  "formation_energy_mev_per_atom": 76,
  "e_above_lowest_polymorph_mev_per_atom": 380,
  "lattice": [[0.0000, 2.3133, 6.6618], [1.5808, 0.0000, 6.6618], [1.5808, 2.3133, 0.0000]],
  "species": ["Sc", "Tc", "Tc"],
  "frac_coords": [[0.5000, 0.5000, 0.5000], [0.1732, 0.1732, 0.8268], [0.8268, 0.8268, 0.1732]]
}

---

No. 16
{
  "formula": "TeMoS",
  "functional": "PBE",
  "state": "optimized geometry",
  "total_magnetization_mub_per_fu": 0.197,
  "volume_a3_per_cell": 268.1,
  "formation_energy_uncorrected_mev_per_atom": -159.5,
  "lattice": [[0.5905, -7.1423, 3.1941], [6.6664, 1.2675, -1.1633], [3.0373, -2.9388, 6.6108]],
  "species": ["Mo", "Mo", "S", "S", "Te", "Te"],
  "frac_coords": [[0.2931, 0.0000, 0.7069], [0.7720, 0.0000, 0.2280], [0.3899, 0.7147, 0.6101], [0.6752, 0.2853, 0.3248], [0.1770, 0.0000, 0.1119], [0.8881, 0.0000, 0.8230]]
}

---

No. 17
{
  "formula": "Tb4Sm11Y9",
  "functional": "PBE",
  "state": "optimized geometry",
  "total_magnetization_mub_per_fu": 0.001,
  "volume_a3_per_cell": 797.4,
  "formation_energy_mev_per_atom": 48,
  "lattice": [[-3.4112, -0.4053, 1.3136], [-5.6076, 1.0134, -14.2488], [3.3020, -14.4066, 4.1291]],
  "species": ["Tb", "Tb", "Tb", "Tb", "Sm", "Sm", "Sm", "Sm", "Sm", "Sm", "Sm", "Sm", "Sm", "Sm", "Sm", "Y", "Y", "Y", "Y", "Y", "Y", "Y", "Y", "Y"],
  "frac_coords": [[0.5000, 0.5545, 0.7569], [0.5000, 0.4455, 0.2431], [0.5000, 0.7569, 0.5545], [0.5000, 0.2431, 0.4455], [0.0000, 0.5927, 0.9548], [0.0000, 0.4073, 0.0452], [0.0000, 0.9548, 0.5927], [0.0000, 0.0452, 0.4073], [0.0000, 0.6321, 0.3679], [0.0000, 0.3679, 0.6321], [0.0000, 0.8402, 0.1598], [0.0000, 0.1598, 0.8402], [0.0000, 0.0000, 0.0000], [0.0000, 0.7073, 0.7073], [0.0000, 0.2927, 0.2927], [0.5000, 0.6316, 0.1641], [0.5000, 0.3684, 0.8359], [0.5000, 0.1641, 0.6316], [0.5000, 0.8359, 0.3684], [0.5000, 0.7861, 0.9322], [0.5000, 0.2139, 0.0678], [0.5000, 0.9322, 0.7861], [0.5000, 0.0678, 0.2139], [0.5000, 0.5000, 0.5000]]
}

---

No. 18
{
  "formula": "TiNbRu2Cl",
  "functional": "PBE",
  "state": "optimized geometry",
  "total_magnetization_mub_per_fu": 2.116,
  "volume_a3_per_cell": 114.2,
  "formation_energy_uncorrected_mev_per_atom": 1426.7,
  "lattice": [[-1.4649, 4.2152, -1.5644], [-4.8496, -1.3928, 0.7883], [0.2240, 1.7117, 4.4024]],
  "species": ["Ru", "Ru", "Nb", "Cl", "Ti"],
  "frac_coords": [[0.0000, 0.0000, 0.5000], [0.5000, 0.0000, 0.0000], [0.0000, 0.0000, 0.0000], [0.5000, 0.5000, 0.5000], [0.0000, 0.5000, 0.0000]]
}

---

No. 19
{
  "formula": "ThSbRu",
  "functional": "PBE",
  "state": "optimized geometry",
  "total_magnetization_mub_per_fu": 0.000,
  "volume_a3_per_cell": 69.6,
  "formation_energy_uncorrected_mev_per_atom": -578.6,
  "lattice": [[-0.4331, 2.8804, 2.2942], [-3.9695, -1.8528, 1.5768], [4.0384, -1.0411, 2.0696]],
  "species": ["Sb", "Th", "Ru"],
  "frac_coords": [[0.1666, 0.3333, 0.6667], [0.6668, 0.6667, 0.3333], [0.1666, 0.0000, 0.0000]]
}

---

No. 20
{
  "formula": "Li2ErPd5",
  "functional": "PBE",
  "state": "optimized geometry",
  "total_magnetization_mub_per_fu": 0.000,
  "volume_a3_per_cell": 122.8,
  "formation_energy_mev_per_atom": -656,
  "lattice": [[4.0476, 0.0000, -1.1126], [-0.3058, 4.0361, -1.1126], [-0.0949, -0.1024, 7.5734]],
  "species": ["Li", "Li", "Er", "Pd", "Pd", "Pd", "Pd", "Pd"],
  "frac_coords": [[0.7509, 0.7509, 0.5018], [0.2491, 0.2491, 0.4982], [0.0000, 0.0000, 0.0000], [0.5000, 0.5000, 0.0000], [0.8592, 0.3592, 0.7185], [0.3592, 0.8592, 0.7185], [0.1408, 0.6408, 0.2815], [0.6408, 0.1408, 0.2815]]
}

---

No. 21
{
  "formula": "BeSbTe",
  "functional": "PBE",
  "state": "optimized geometry",
  "total_magnetization_mub_per_fu": 0.000,
  "volume_a3_per_cell": 389.7,
  "formation_energy_uncorrected_mev_per_atom": -59.3,
  "e_above_lowest_polymorph_mev_per_atom": 11,
  "lattice": [[7.0686, 0.0000, -0.0010], [0.0000, 4.0386, 0.0000], [-6.2869, 0.0000, 13.6526]],
  "species": ["Sb", "Sb", "Sb", "Sb", "Te", "Te", "Te", "Te", "Be", "Be", "Be", "Be"],
  "frac_coords": [[0.8202, 0.0000, 0.2865], [0.8202, 0.5000, 0.7865], [0.5301, 0.0000, 0.6783], [0.5301, 0.5000, 0.1783], [0.2992, 0.0000, 0.7943], [0.2992, 0.5000, 0.2943], [0.9350, 0.0000, 0.0430], [0.9350, 0.5000, 0.5430], [0.0910, 0.0000, 0.2212], [0.0910, 0.5000, 0.7212], [0.8888, 0.0000, 0.4586], [0.8888, 0.5000, 0.9586]]
}

---

No. 22
{
  "formula": "Ho5MgPd4",
  "functional": "PBE",
  "state": "optimized geometry",
  "total_magnetization_mub_per_fu": 0.000,
  "volume_a3_per_cell": 225.8,
  "formation_energy_mev_per_atom": -730,
  "lattice": [[3.5163, 0.0000, 0.0000], [0.0000, 3.5163, 0.0000], [0.0000, 0.0000, 18.2585]],
  "species": ["Ho", "Ho", "Ho", "Ho", "Ho", "Mg", "Pd", "Pd", "Pd", "Pd"],
  "frac_coords": [[0.5000, 0.5000, 0.1231], [0.5000, 0.5000, 0.3101], [0.5000, 0.5000, 0.5000], [0.5000, 0.5000, 0.6899], [0.5000, 0.5000, 0.8769], [0.0000, 0.0000, 0.0000], [0.0000, 0.0000, 0.2114], [0.0000, 0.0000, 0.4044], [0.0000, 0.0000, 0.5956], [0.0000, 0.0000, 0.7886]]
}

---

No. 23
{
  "formula": "Te2PtCl2",
  "functional": "PBE",
  "state": "optimized geometry",
  "total_magnetization_mub_per_fu": 0.000,
  "volume_a3_per_cell": 400.2,
  "formation_energy_uncorrected_mev_per_atom": -365.6,
  "lattice": [[-4.6815, 0.9386, -6.2900], [2.3794, -4.5026, -2.4428], [-5.0074, -3.5293, 8.1575]],
  "species": ["Te", "Te", "Te", "Te", "Pt", "Pt", "Cl", "Cl", "Cl", "Cl"],
  "frac_coords": [[0.5920, 0.6681, 0.1840], [0.4080, 0.3319, 0.8160], [0.9080, 0.4841, 0.8160], [0.0920, 0.5159, 0.1840], [0.2500, 0.5000, 0.0000], [0.7500, 0.5000, 0.0000], [0.1776, 0.9279, 0.3551], [0.8224, 0.0721, 0.6449], [0.3224, 0.5728, 0.6449], [0.6776, 0.4272, 0.3551]]
}

---

No. 24
{
  "formula": "Cd6Hg4Pb",
  "functional": "PBE",
  "state": "optimized geometry",
  "total_magnetization_mub_per_fu": 0.000,
  "volume_a3_per_cell": 274.6,
  "formation_energy_mev_per_atom": 32,
  "e_above_lowest_polymorph_mev_per_atom": 0,
  "lattice": [[-1.5139, 1.8372, 2.5525], [0.5828, -7.5545, 5.7831], [7.1293, 6.3187, -0.3195]],
  "species": ["Cd", "Cd", "Cd", "Cd", "Cd", "Cd", "Hg", "Hg", "Hg", "Hg", "Pb"],
  "frac_coords": [[0.0000, 0.5200, 0.0399], [0.5000, 0.6421, 0.8210], [0.0000, 0.5200, 0.4800], [0.0000, 0.9601, 0.4800], [0.5000, 0.1790, 0.8210], [0.5000, 0.1790, 0.3579], [0.5000, 0.8173, 0.6347], [0.5000, 0.3653, 0.1827], [0.5000, 0.8173, 0.1827], [0.0000, 0.3333, 0.6667], [0.0000, 0.0000, 0.0000]]
}